Density functional theory data (PBE) for crystalline NaMgMn2Br8 at its relaxed geometry.

a = 6.934 Å, b = 6.934 Å, c = 9.175 Å
α = 90.00°, β = 90.00°, γ = 120.00°
Atoms (fractional coordinates):
Na: 0.000 0.000 0.000
Mg: 0.000 0.000 0.500
Mn: 0.333 0.667 0.738
Mn: 0.667 0.333 0.262
Br: 0.002 0.690 0.323
Br: 0.310 0.312 0.323
Br: 0.312 0.002 0.677
Br: 0.333 0.667 0.997
Br: 0.667 0.333 0.003
Br: 0.688 0.998 0.323
Br: 0.690 0.688 0.677
Br: 0.998 0.310 0.677

Summary:
Symmetry = P-3
Formation energy (no corrections) = -0.930 eV per atom